# Y2TlInGe, relaxed, DFT PBE
data_Y2TlInGe
_space_group_name_H-M_alt 'P 4/m m m'
_space_group_IT_number 123
_space_group_name_Hall '-P 4 2'
_cell_length_a 5.465
_cell_length_b 5.465
_cell_length_c 5.135
_cell_angle_alpha 90.00
_cell_angle_beta 90.00
_cell_angle_gamma 90.00
loop_
_atom_site_label
_atom_site_fract_x
_atom_site_fract_y
_atom_site_fract_z
Y1 0.000 0.500 0.000
Tl1 0.000 0.000 0.500
In1 0.500 0.500 0.500
Ge1 0.500 0.500 0.000
# M_tot (μB/f.u.): 0.0
# Total DFT energy (no corrections) (eV/cell): -23.19
# Energy of formation from the pure elements (meV per atom): -107.8